No. 1
This record from Alexandria describes GdReB4 after structural relaxation. The functional is PBE-GGA.

Computed properties:
Volume, Å³/f.u.: 63.33
Size of the total moment, μB per cell: 27.070
Crystal system: orthorhombic
Formation enthalpy at 0 K, eV/atom: -0.5685
DOS at the Fermi energy, states/eV/atom: 0.341

a b c (Å): 3.6310 6.0040 11.6191
angles (deg): 90.00 90.00 90.00
Last column: nearest neighbours and their distance in Å.
Sites, in units of the cell vectors:
Re1 0.0000 0.1321 0.4127  10 B 2.33-2.40, 1 Re 2.57
Re2 0.0000 0.3679 0.9127  10 B 2.33-2.40, 1 Re 2.57
B1 0.5000 0.7859 0.1846  3 B 1.84-1.86
B2 0.5000 0.9766 0.3084  3 B 1.77-1.86
Re3 0.0000 0.6321 0.0873  10 B 2.33-2.40, 1 Re 2.57
B3 0.5000 0.3630 0.4684  3 B 1.76-1.84
B4 0.5000 0.1370 0.9684  3 B 1.76-1.84
B5 0.5000 0.8867 0.4530  3 B 1.74-1.77
B6 0.5000 0.0234 0.6916  3 B 1.77-1.86
B7 0.5000 0.5234 0.8084  3 B 1.77-1.86
B8 0.5000 0.4766 0.1916  3 B 1.77-1.86
B9 0.5000 0.7141 0.6846  3 B 1.84-1.86
B10 0.5000 0.2141 0.8154  3 B 1.84-1.86
B11 0.5000 0.2859 0.3154  3 B 1.84-1.86
Gd1 0.0000 0.6262 0.3498  14 B 2.68-2.82
B12 0.5000 0.6133 0.9530  3 B 1.74-1.77
Gd2 0.0000 0.8738 0.8498  14 B 2.68-2.82
B13 0.5000 0.8630 0.0316  3 B 1.76-1.84
B14 0.5000 0.1133 0.5470  3 B 1.74-1.77
Re4 0.0000 0.8679 0.5873  10 B 2.33-2.40, 1 Re 2.57
B15 0.5000 0.3867 0.0470  3 B 1.74-1.77
Gd3 0.0000 0.1262 0.1502  14 B 2.68-2.82
Gd4 0.0000 0.3738 0.6502  14 B 2.68-2.82
B16 0.5000 0.6370 0.5316  3 B 1.76-1.84

***

No. 2
This record from Alexandria describes As2RuRhBr after structural relaxation. The functional is PBE-GGA.

Computed properties:
Volume, Å³/f.u.: 113.08
Size of the total moment, μB per cell: 0.960
ΔE_f (raw), eV per atom: 0.831
Crystal system: tetragonal
Distance to the lowest polymorph of the same formula, meV/atom: 0
DOS at the Fermi energy, states/eV/atom: 1.098

a b c (Å): 4.6588 4.6588 5.2100
angles (deg): 90.00 90.00 90.00
Last column: nearest neighbours and their distance in Å.
Sites, in units of the cell vectors:
Br1 0.0000 0.0000 0.5000  2 Ru 2.61
As1 0.5000 0.0000 0.0000  2 Ru 2.33
As2 0.0000 0.5000 0.0000  2 Ru 2.33
Rh1 0.5000 0.5000 0.5000  4 Br 3.29, 8 As 3.49
Ru1 0.0000 0.0000 0.0000  4 As 2.33, 2 Br 2.61

***

No. 3
This record from Alexandria describes BaMg2Te after structural relaxation. The functional is PBE-GGA.

Computed properties:
Volume, Å³/f.u.: 139.08
Size of the total moment, μB per cell: 0.000
ΔE_f (raw), eV per atom: -0.495
Crystal system: monoclinic
DOS at the Fermi energy, states/eV/atom: 0.240

a b c (Å): 5.3414 5.3414 6.5374
angles (deg): 72.22 72.22 52.47
Last column: nearest neighbours and their distance in Å.
Sites, in units of the cell vectors:
Ba1 0.2600 0.2600 0.2375  3 Te 3.62-3.65, 6 Mg 3.64-4.05
Mg1 0.7309 0.7309 0.8050  3 Mg 2.97-3.04, 1 Te 3.15
Mg2 0.0196 0.0196 0.8805  3 Mg 2.97-3.04, 2 Te 3.16
Te1 0.4895 0.4895 0.5769  5 Mg 3.15-3.38